This record from Alexandria describes crystalline ZnTcP2 at its relaxed geometry. The functional is PBE.

Computed properties:
Fermi-level density of states	0.26	states/eV per atom
energy relative to the elements	-0.0690	eV/atom
total moment	0.0000	μB per atom
space group	No. 123
mass density	6.2	g/cm3

a b c (Å): 2.928 2.928 7.011
angles (deg): 90.00 90.00 90.00
Fractional positions:
P 0.000 0.000 0.043
P 0.000 0.000 0.457
Tc 0.500 0.500 0.250
Zn 0.500 0.500 0.750

This record from Alexandria describes crystalline Tb5Sm5In2 at its relaxed geometry. The functional is PBE.

Computed properties:
Fermi-level density of states	1.21	states/eV per atom
energy relative to the elements	-0.1328	eV/atom
total moment	0.0000	μB per atom
distance to the lowest polymorph of the same formula	0.000	eV/atom
space group	No. 12
mass density	8.0	g/cm3

a b c (Å): 4.864 7.928 9.984
angles (deg): 90.00 90.03 107.88
Fractional positions:
In 0.831 0.663 0.252
Sm 0.506 0.011 0.750
Sm 0.668 0.336 0.000
Sm 0.494 0.989 0.250
Sm 0.000 0.000 0.500
Tb 0.669 0.338 0.501
Sm 0.332 0.664 0.000
Tb 0.331 0.662 0.499
Tb 0.827 0.655 0.749
Tb 0.173 0.345 0.251
Tb 0.000 0.000 0.000
In 0.169 0.337 0.748

This record from Alexandria describes crystalline SrSnAu3 at its relaxed geometry. The functional is PBE.

Computed properties:
Fermi-level density of states	0.39	states/eV per atom
energy relative to the elements	-0.2747	eV/atom
total moment	0.0000	μB per atom
distance to the lowest polymorph of the same formula	0.223	eV/atom
space group	No. 221
mass density	9.0	g/cm3

a b c (Å): 5.274 5.274 5.274
angles (deg): 90.00 90.00 90.00
Fractional positions:
Sr 0.500 0.500 0.500
Au 0.000 0.000 0.500
Au 0.500 0.000 0.000
Sn 0.000 0.000 0.000
Au 0.000 0.500 0.000

This record from Alexandria describes crystalline Tb2HfNpN4 at its relaxed geometry. The functional is PBE.

Computed properties:
Fermi-level density of states	0.86	states/eV per atom
total moment	0.3953	μB per atom
space group	No. 10
energy	-9.75	eV/atom
mass density	11.8	g/cm3

a b c (Å): 3.391 5.880 5.897
angles (deg): 108.96 90.00 90.00
Last column: magnetic moment on the atom in μB.
Fractional positions:
N 0.500 0.764 0.776  -0.04
Tb 0.500 0.000 0.500  0.08
Hf 0.000 0.000 0.000  0.06
Np 0.500 0.500 0.000  2.97
N 0.000 0.247 0.770  -0.08
N 0.500 0.236 0.224  -0.04
N 0.000 0.753 0.230  -0.08
Tb 0.000 0.500 0.500  0.10

This record from Alexandria describes crystalline VHgAu2 at its relaxed geometry. The functional is PBE.

Computed properties:
Fermi-level density of states	1.10	states/eV per atom
energy relative to the elements	0.4086	eV/atom
total moment	0.2284	μB per atom
space group	No. 166
mass density	14.0	g/cm3

a b c (Å): 2.850 2.850 11.042
angles (deg): 82.59 82.59 60.00
Last column: magnetic moment on the atom in μB.
Fractional positions:
Hg 0.500 0.500 0.500  -0.01
Au 0.079 0.079 0.764  0.00
Au 0.921 0.921 0.236  0.00
V 0.000 0.000 0.000  0.77

This record from Alexandria describes crystalline Dy3AgH at its relaxed geometry. The functional is PBE.

Computed properties:
Fermi-level density of states	1.44	states/eV per atom
total moment	0.1956	μB per atom
space group	No. 221
energy	-4.14	eV/atom
mass density	9.0	g/cm3

a b c (Å): 4.795 4.795 4.795
angles (deg): 90.00 90.00 90.00
Last column: magnetic moment on the atom in μB.
Fractional positions:
Dy 0.000 0.500 0.000  0.25
Ag 0.500 0.500 0.500  0.02
Dy 0.500 0.000 0.000  0.25
H 0.000 0.000 0.000  0.00
Dy 0.000 0.000 0.500  0.25

This record from Alexandria describes crystalline BaErC at its relaxed geometry. The functional is PBE.

Computed properties:
Fermi-level density of states	0.74	states/eV per atom
energy relative to the elements	0.1473	eV/atom
total moment	0.0004	μB per atom
space group	No. 57
mass density	4.9	g/cm3

a b c (Å): 5.018 7.864 10.963
angles (deg): 90.00 90.00 90.00
Fractional positions:
Ba 0.076 0.497 0.681
Er 0.576 0.111 0.066
Ba 0.576 0.503 0.319
C 0.576 0.411 0.095
Er 0.076 0.889 0.934
Er 0.076 0.389 0.066
Er 0.576 0.611 0.934
C 0.076 0.589 0.905
C 0.576 0.911 0.905
C 0.076 0.089 0.095
Ba 0.076 0.997 0.319
Ba 0.576 0.003 0.681

This record from Alexandria describes crystalline NpBW at its relaxed geometry. The functional is PBE.

Computed properties:
Fermi-level density of states	1.57	states/eV per atom
energy relative to the elements	0.1328	eV/atom
total moment	0.0079	μB per atom
space group	No. 59
mass density	17.3	g/cm3

a b c (Å): 3.378 3.418 14.338
angles (deg): 90.00 90.00 90.00
Fractional positions:
W 0.250 0.750 0.189
Np 0.250 0.250 0.995
Np 0.750 0.750 0.505
B 0.750 0.250 0.651
B 0.250 0.750 0.849
W 0.250 0.750 0.689
B 0.250 0.750 0.349
W 0.750 0.250 0.811
Np 0.250 0.250 0.495
B 0.750 0.250 0.151
W 0.750 0.250 0.311
Np 0.750 0.750 0.005

Question: Which of these has the highest mass density?
Answer: NpBW

Question: What is the Fermi-level density of states in the sixth record?
Answer: 1.44 states/eV per atom

Question: Which value of Fermi-level density of states does entry 2 give?
Answer: 1.21 states/eV per atom